1.
Here is a relaxed TcNiIr2 crystal from Alexandria via LeMat-Bulk. Energies are from PBE.

Cell lengths 4.295, 4.710, 5.406 Å; angles 89.99, 90.00, 90.00 degrees
Element x y z (fractional)
Ni 0.250 0.340 0.750
Tc 0.750 0.658 0.750
Ir 0.750 0.173 0.996
Ir 0.250 0.827 0.496
Ni 0.750 0.660 0.250
Ir 0.250 0.827 0.004
Tc 0.250 0.342 0.250
Ir 0.750 0.173 0.504

Calculated values
E above lowest polymorph: 0.0000 eV/atom
DFT formation energy: -0.1216 eV per atom
total magnetization: 0.00 Bohr magnetons per cell
total energy: -8.589 eV/atom

***

2.
Here is a relaxed TbPr4Nd2Ho crystal from Alexandria via LeMat-Bulk. Energies are from PBE.

Cell lengths 5.211, 5.179, 11.537 Å; angles 63.20, 90.00, 90.00 degrees
Element x y z (fractional)
Tb 0.500 0.500 0.000
Nd 0.000 0.000 0.000
Pr 0.500 0.250 0.750
Pr 0.000 0.249 0.251
Ho 0.000 0.500 0.500
Nd 0.500 0.000 0.500
Pr 0.000 0.751 0.749
Pr 0.500 0.750 0.250

Calculated values
DFT formation energy: 0.0134 eV per atom
total magnetization: 0.00 Bohr magnetons per cell
total energy: -4.719 eV/atom

***

3.
Here is a relaxed Cs2SbHPb crystal from Alexandria via LeMat-Bulk. Energies are from PBE.

Cell lengths 4.721, 7.658, 12.521 Å; angles 115.43, 90.00, 90.00 degrees
Element x y z (fractional)
H 0.750 0.227 0.293
Cs 0.250 0.208 0.902
Sb 0.250 0.619 0.286
Pb 0.250 0.652 0.818
Sb 0.750 0.381 0.714
Cs 0.750 0.792 0.098
Cs 0.750 0.772 0.561
Cs 0.250 0.228 0.439
Pb 0.750 0.348 0.182
H 0.250 0.773 0.707

Calculated values
total magnetization: 0.00 Bohr magnetons per cell
total energy: -2.875 eV/atom

***

4.
Here is a relaxed KSrCdO2 crystal from Alexandria via LeMat-Bulk. Energies are from PBE.

Cell lengths 4.928, 5.272, 4.928 Å; angles 90.00, 90.00, 90.00 degrees
Element x y z (fractional)
Cd 0.000 0.500 0.000
Sr 0.500 0.500 0.500
O 0.500 0.000 0.000
K 0.000 0.000 0.000
O 0.000 0.000 0.500

Calculated values
E above lowest polymorph: 1.2759 eV/atom
total magnetization: 1.01 Bohr magnetons per cell
ΔE_f (raw): -0.128 eV/atom
total energy: -2.850 eV/atom

***

5.
Here is a relaxed AcSn2Te4 crystal from Alexandria via LeMat-Bulk. Energies are from PBE.

Cell lengths 4.567, 7.726, 14.634 Å; angles 90.00, 90.00, 107.19 degrees
Element x y z (fractional)
Ac 0.598 0.196 0.750
Te 0.500 0.000 0.500
Te 0.224 0.447 0.870
Te 0.937 0.873 0.750
Te 0.224 0.447 0.630
Te 0.063 0.127 0.250
Te 0.776 0.553 0.130
Sn 0.135 0.269 0.057
Te 0.776 0.553 0.370
Sn 0.865 0.731 0.557
Sn 0.865 0.731 0.943
Ac 0.402 0.804 0.250
Sn 0.135 0.269 0.443
Te 0.500 0.000 0.000

Calculated values
total magnetization: 0.00 Bohr magnetons per cell
ΔE_f (raw): -0.678 eV/atom
total energy: -4.204 eV/atom

***

6.
Here is a relaxed Ca2Pr2BRh4 crystal from Alexandria via LeMat-Bulk. Energies are from PBE.

Cell lengths 6.259, 6.259, 6.259 Å; angles 98.19, 115.39, 115.39 degrees
Element x y z (fractional)
Pr 0.500 0.250 0.750
Rh 0.560 0.780 0.780
B 0.000 0.000 0.000
Rh 0.000 0.220 0.780
Pr 0.500 0.750 0.250
Rh 0.440 0.220 0.220
Ca 0.000 0.309 0.309
Ca 0.000 0.691 0.691
Rh 0.000 0.780 0.220

Calculated values
DFT formation energy: -0.4425 eV per atom
total magnetization: 0.00 Bohr magnetons per cell
total energy: -5.959 eV/atom